# 1
VASP calculation (GGA-PBE) on a relaxed structure of Cs4Ca3PuBr12.

Output
The calculation puts the uncorrected formation energy at -179.8 kJ/mol of atoms. Its space-group type is Im-3m. The value obtained for the magnetic moment is 6.00 μB per cell.

Cell: 10.0682 10.0682 10.0682 Å, 109.47 109.47 109.47°
Closest atoms and distances in Å follow each position.
Sites, in units of the cell vectors:
Cs (0.0000, 0.0000, 0.5000)  12 Br 4.11
Cs (0.0000, 0.5000, 0.0000)  12 Br 4.11
Cs (0.5000, 0.0000, 0.0000)  12 Br 4.11
Cs (0.5000, 0.5000, 0.5000)  12 Br 4.11
Ca (0.0000, 0.5000, 0.5000)  6 Br 2.86-2.91
Ca (0.5000, 0.0000, 0.5000)  6 Br 2.86-2.91
Ca (0.5000, 0.5000, 0.0000)  6 Br 2.86-2.91
Pu (0.0000, 0.0000, 0.0000)  6 Br 2.95
Br (0.0000, 0.2541, 0.2541)  1 Ca 2.86, 1 Pu 2.95
Br (0.0000, 0.7459, 0.7459)  1 Ca 2.86, 1 Pu 2.95
Br (0.2500, 0.5000, 0.7500)  2 Ca 2.91
Br (0.2500, 0.7500, 0.5000)  2 Ca 2.91
Br (0.2541, 0.0000, 0.2541)  1 Ca 2.86, 1 Pu 2.95
Br (0.2541, 0.2541, 0.0000)  1 Ca 2.86, 1 Pu 2.95
Br (0.5000, 0.2500, 0.7500)  2 Ca 2.91
Br (0.5000, 0.7500, 0.2500)  2 Ca 2.91
Br (0.7459, 0.0000, 0.7459)  1 Ca 2.86, 1 Pu 2.95
Br (0.7459, 0.7459, 0.0000)  1 Ca 2.86, 1 Pu 2.95
Br (0.7500, 0.2500, 0.5000)  2 Ca 2.91
Br (0.7500, 0.5000, 0.2500)  2 Ca 2.91



# 2
VASP calculation (GGA-PBE) on a relaxed structure of CsCa2PuBr8.

Output
The calculation puts the uncorrected formation energy at -170.5 kJ/mol of atoms. Its space-group type is P-1. The value obtained for the magnetic moment is 5.00 μB per cell.

Cell: 6.9682 7.1293 9.3199 Å, 89.95 89.92 89.19°
Closest atoms and distances in Å follow each position.
Sites, in units of the cell vectors:
Cs (0.0000, 0.0000, 0.0000)  6 Br 3.43-3.48
Ca (0.4999, 0.5001, 0.2472)  6 Br 2.90-3.14
Ca (0.5001, 0.4999, 0.7528)  6 Br 2.90-3.14
Pu (0.0000, 0.0000, 0.5000)  6 Br 2.87-2.99
Br (0.2546, 0.8308, 0.7054)  1 Pu 2.87, 1 Ca 2.93
Br (0.2554, 0.8317, 0.2943)  1 Pu 2.87, 1 Ca 2.93
Br (0.2633, 0.3278, 0.5001)  1 Pu 2.99, 2 Ca 3.13-3.14
Br (0.2708, 0.3985, 0.0003)  2 Ca 2.90
Br (0.7292, 0.6015, 0.9997)  2 Ca 2.90
Br (0.7367, 0.6722, 0.4999)  1 Pu 2.99, 2 Ca 3.13-3.14
Br (0.7446, 0.1683, 0.7057)  1 Pu 2.87, 1 Ca 2.93
Br (0.7454, 0.1692, 0.2946)  1 Pu 2.87, 1 Ca 2.93



# 3
VASP calculation (GGA-PBE) on a relaxed structure of Cs2RbCaBr6.

Output
The calculation puts the uncorrected formation energy at -152.3 kJ/mol of atoms. Its space-group type is Fm-3m. The value obtained for the magnetic moment is 1.00 μB per cell.

Cell: 8.6764 8.6764 8.6764 Å, 60.00 60.00 60.00°
Closest atoms and distances in Å follow each position.
Sites, in units of the cell vectors:
Cs (0.2500, 0.2500, 0.2500)  12 Br 4.34
Cs (0.7500, 0.7500, 0.7500)  12 Br 4.34
Rb (0.0000, 0.0000, 0.0000)  6 Br 3.28
Ca (0.5000, 0.5000, 0.5000)  6 Br 2.86
Br (0.2671, 0.2671, 0.7329)  1 Ca 2.86
Br (0.2671, 0.7329, 0.2671)  1 Ca 2.86
Br (0.2671, 0.7329, 0.7329)  1 Ca 2.86
Br (0.7329, 0.2671, 0.2671)  1 Ca 2.86
Br (0.7329, 0.2671, 0.7329)  1 Ca 2.86
Br (0.7329, 0.7329, 0.2671)  1 Ca 2.86



# 4
VASP calculation (GGA-PBE) on a relaxed structure of Cs4RbCa3Br12.

Output
The calculation puts the uncorrected formation energy at -170.6 kJ/mol of atoms. Its space-group type is Im-3m. The value obtained for the magnetic moment is 0.00 μB per cell.

Cell: 10.2973 10.2973 10.2973 Å, 109.47 109.47 109.47°
Closest atoms and distances in Å follow each position.
Sites, in units of the cell vectors:
Cs (0.0000, 0.0000, 0.5000)  12 Br 4.20-4.21
Cs (0.0000, 0.5000, 0.0000)  12 Br 4.20-4.21
Cs (0.5000, 0.0000, 0.0000)  12 Br 4.20-4.21
Cs (0.5000, 0.5000, 0.5000)  12 Br 4.20-4.21
Rb (0.0000, 0.0000, 0.0000)  6 Br 3.18
Ca (0.0000, 0.5000, 0.5000)  6 Br 2.77-2.97
Ca (0.5000, 0.0000, 0.5000)  6 Br 2.77-2.97
Ca (0.5000, 0.5000, 0.0000)  6 Br 2.77-2.97
Br (0.0000, 0.2673, 0.2673)  1 Ca 2.77
Br (0.0000, 0.7327, 0.7327)  1 Ca 2.77
Br (0.2500, 0.5000, 0.7500)  2 Ca 2.97
Br (0.2500, 0.7500, 0.5000)  2 Ca 2.97
Br (0.2673, 0.0000, 0.2673)  1 Ca 2.77
Br (0.2673, 0.2673, 0.0000)  1 Ca 2.77
Br (0.5000, 0.2500, 0.7500)  2 Ca 2.97
Br (0.5000, 0.7500, 0.2500)  2 Ca 2.97
Br (0.7327, 0.0000, 0.7327)  1 Ca 2.77
Br (0.7327, 0.7327, 0.0000)  1 Ca 2.77
Br (0.7500, 0.2500, 0.5000)  2 Ca 2.97
Br (0.7500, 0.5000, 0.2500)  2 Ca 2.97